*i*
NaBIN2 after structural relaxation, computed with GGA-PBE.

```
data_NaBIN2
_cell_length_a 4.5084
_cell_length_b 4.5084
_cell_length_c 6.4932
_cell_angle_alpha 90.00
_cell_angle_beta 90.00
_cell_angle_gamma 90.00
_space_group_name_H-M_alt 'P 4/m m m'
_space_group_IT_number 123
_space_group_name_Hall '-P 4 2'
loop_
_atom_site_label
_atom_site_fract_x
_atom_site_fract_y
_atom_site_fract_z
Na1 0.0000 0.0000 0.0000
B1 0.5000 0.5000 0.5000
I1 0.0000 0.0000 0.5000
N1 0.0000 0.5000 0.0000
```

*ii*
NaBIN2 after structural relaxation, computed with GGA-PBE.

```
data_NaBIN2
_cell_length_a 3.5265
_cell_length_b 3.5265
_cell_length_c 7.5604
_cell_angle_alpha 90.00
_cell_angle_beta 90.00
_cell_angle_gamma 90.00
_space_group_name_H-M_alt 'P 4/m m m'
_space_group_IT_number 123
_space_group_name_Hall '-P 4 2'
loop_
_atom_site_label
_atom_site_fract_x
_atom_site_fract_y
_atom_site_fract_z
Na1 0.0000 0.0000 0.0000
B1 0.5000 0.5000 0.5000
I1 0.5000 0.5000 0.0000
N1 0.0000 0.5000 0.5000
```

Verdict on stability: *i* comes out at the bottom.

*i*
NbBI2N after structural relaxation, computed with GGA-PBE.

```
data_NbBI2N
_cell_length_a 5.7267
_cell_length_b 5.7267
_cell_length_c 3.9257
_cell_angle_alpha 90.00
_cell_angle_beta 90.00
_cell_angle_gamma 90.00
_space_group_name_H-M_alt 'P 4/m m m'
_space_group_IT_number 123
_space_group_name_Hall '-P 4 2'
loop_
_atom_site_label
_atom_site_fract_x
_atom_site_fract_y
_atom_site_fract_z
Nb1 0.0000 0.0000 0.0000
B1 0.5000 0.5000 0.5000
I1 0.0000 0.5000 0.0000
N1 0.0000 0.0000 0.5000
```

*ii*
NbBI2N after structural relaxation, computed with GGA-PBE.

```
data_NbBI2N
_cell_length_a 6.5102
_cell_length_b 6.5102
_cell_length_c 2.7868
_cell_angle_alpha 90.00
_cell_angle_beta 90.00
_cell_angle_gamma 90.00
_space_group_name_H-M_alt 'P 4/m m m'
_space_group_IT_number 123
_space_group_name_Hall '-P 4 2'
loop_
_atom_site_label
_atom_site_fract_x
_atom_site_fract_y
_atom_site_fract_z
Nb1 0.0000 0.0000 0.0000
B1 0.5000 0.5000 0.5000
I1 0.0000 0.5000 0.5000
N1 0.5000 0.5000 0.0000
```

Verdict on stability: *i* comes out at the bottom.

*i*
NiBI2N after structural relaxation, computed with GGA-PBE.

```
data_NiBI2N
_cell_length_a 6.1927
_cell_length_b 6.1927
_cell_length_c 2.7790
_cell_angle_alpha 90.00
_cell_angle_beta 90.00
_cell_angle_gamma 90.00
_space_group_name_H-M_alt 'P 4/m m m'
_space_group_IT_number 123
_space_group_name_Hall '-P 4 2'
loop_
_atom_site_label
_atom_site_fract_x
_atom_site_fract_y
_atom_site_fract_z
Ni1 0.0000 0.0000 0.0000
B1 0.5000 0.5000 0.5000
I1 0.0000 0.5000 0.5000
N1 0.5000 0.5000 0.0000
```

*ii*
NiBI2N after structural relaxation, computed with GGA-PBE.

```
data_NiBI2N
_cell_length_a 5.4643
_cell_length_b 5.4643
_cell_length_c 3.5180
_cell_angle_alpha 90.00
_cell_angle_beta 90.00
_cell_angle_gamma 90.00
_space_group_name_H-M_alt 'P 4/m m m'
_space_group_IT_number 123
_space_group_name_Hall '-P 4 2'
loop_
_atom_site_label
_atom_site_fract_x
_atom_site_fract_y
_atom_site_fract_z
Ni1 0.0000 0.0000 0.0000
B1 0.5000 0.5000 0.5000
I1 0.0000 0.5000 0.0000
N1 0.0000 0.0000 0.5000
```

Verdict on stability: *ii* comes out at the bottom.

*i*
BOsIN2 after structural relaxation, computed with GGA-PBE.

```
data_BOsIN2
_cell_length_a 3.6844
_cell_length_b 3.6844
_cell_length_c 4.5744
_cell_angle_alpha 90.00
_cell_angle_beta 90.00
_cell_angle_gamma 90.00
_space_group_name_H-M_alt 'P 4/m m m'
_space_group_IT_number 123
_space_group_name_Hall '-P 4 2'
loop_
_atom_site_label
_atom_site_fract_x
_atom_site_fract_y
_atom_site_fract_z
B1 0.0000 0.0000 0.0000
Os1 0.5000 0.5000 0.5000
I1 0.0000 0.0000 0.5000
N1 0.0000 0.5000 0.0000
```

*ii*
BOsIN2 after structural relaxation, computed with GGA-PBE.

```
data_BOsIN2
_cell_length_a 3.8057
_cell_length_b 3.8057
_cell_length_c 5.8110
_cell_angle_alpha 90.00
_cell_angle_beta 90.00
_cell_angle_gamma 90.00
_space_group_name_H-M_alt 'P 4/m m m'
_space_group_IT_number 123
_space_group_name_Hall '-P 4 2'
loop_
_atom_site_label
_atom_site_fract_x
_atom_site_fract_y
_atom_site_fract_z
B1 0.0000 0.0000 0.0000
Os1 0.5000 0.5000 0.5000
I1 0.5000 0.5000 0.0000
N1 0.0000 0.5000 0.5000
```

Verdict on stability: *i* comes out at the bottom.

*i*
BPI2N after structural relaxation, computed with GGA-PBE.

```
data_BPI2N
_cell_length_a 5.9394
_cell_length_b 5.9394
_cell_length_c 3.3224
_cell_angle_alpha 90.00
_cell_angle_beta 90.00
_cell_angle_gamma 90.00
_space_group_name_H-M_alt 'P 4/m m m'
_space_group_IT_number 123
_space_group_name_Hall '-P 4 2'
loop_
_atom_site_label
_atom_site_fract_x
_atom_site_fract_y
_atom_site_fract_z
B1 0.0000 0.0000 0.0000
P1 0.5000 0.5000 0.5000
I1 0.0000 0.5000 0.5000
N1 0.5000 0.5000 0.0000
```

*ii*
BPI2N after structural relaxation, computed with GGA-PBE.

```
data_BPI2N
_cell_length_a 7.9092
_cell_length_b 7.9092
_cell_length_c 2.6854
_cell_angle_alpha 90.00
_cell_angle_beta 90.00
_cell_angle_gamma 90.00
_space_group_name_H-M_alt 'P 4/m m m'
_space_group_IT_number 123
_space_group_name_Hall '-P 4 2'
loop_
_atom_site_label
_atom_site_fract_x
_atom_site_fract_y
_atom_site_fract_z
B1 0.0000 0.0000 0.0000
P1 0.5000 0.5000 0.5000
I1 0.0000 0.5000 0.0000
N1 0.0000 0.0000 0.5000
```

Verdict on stability: *i* comes out at the bottom.

*i*
BPIN2 after structural relaxation, computed with GGA-PBE.

```
data_BPIN2
_cell_length_a 3.4371
_cell_length_b 3.4371
_cell_length_c 7.1347
_cell_angle_alpha 90.00
_cell_angle_beta 90.00
_cell_angle_gamma 90.00
_space_group_name_H-M_alt 'P 4/m m m'
_space_group_IT_number 123
_space_group_name_Hall '-P 4 2'
loop_
_atom_site_label
_atom_site_fract_x
_atom_site_fract_y
_atom_site_fract_z
B1 0.0000 0.0000 0.0000
P1 0.5000 0.5000 0.5000
I1 0.0000 0.0000 0.5000
N1 0.0000 0.5000 0.0000
```

*ii*
BPIN2 after structural relaxation, computed with GGA-PBE.

```
data_BPIN2
_cell_length_a 3.3477
_cell_length_b 3.3477
_cell_length_c 7.9245
_cell_angle_alpha 90.00
_cell_angle_beta 90.00
_cell_angle_gamma 90.00
_space_group_name_H-M_alt 'P 4/m m m'
_space_group_IT_number 123
_space_group_name_Hall '-P 4 2'
loop_
_atom_site_label
_atom_site_fract_x
_atom_site_fract_y
_atom_site_fract_z
B1 0.0000 0.0000 0.0000
P1 0.5000 0.5000 0.5000
I1 0.5000 0.5000 0.0000
N1 0.0000 0.5000 0.5000
```

Verdict on stability: *i* comes out at the bottom.

*i*
BPdI2N after structural relaxation, computed with GGA-PBE.

```
data_BPdI2N
_cell_length_a 6.1784
_cell_length_b 6.1784
_cell_length_c 2.7902
_cell_angle_alpha 90.00
_cell_angle_beta 90.00
_cell_angle_gamma 90.00
_space_group_name_H-M_alt 'P 4/m m m'
_space_group_IT_number 123
_space_group_name_Hall '-P 4 2'
loop_
_atom_site_label
_atom_site_fract_x
_atom_site_fract_y
_atom_site_fract_z
B1 0.0000 0.0000 0.0000
Pd1 0.5000 0.5000 0.5000
I1 0.0000 0.5000 0.0000
N1 0.0000 0.0000 0.5000
```

*ii*
BPdI2N after structural relaxation, computed with GGA-PBE.

```
data_BPdI2N
_cell_length_a 5.6754
_cell_length_b 5.6754
_cell_length_c 3.7699
_cell_angle_alpha 90.00
_cell_angle_beta 90.00
_cell_angle_gamma 90.00
_space_group_name_H-M_alt 'P 4/m m m'
_space_group_IT_number 123
_space_group_name_Hall '-P 4 2'
loop_
_atom_site_label
_atom_site_fract_x
_atom_site_fract_y
_atom_site_fract_z
B1 0.0000 0.0000 0.0000
Pd1 0.5000 0.5000 0.5000
I1 0.0000 0.5000 0.5000
N1 0.5000 0.5000 0.0000
```

Verdict on stability: *ii* comes out at the bottom.

*i*
RbBIN2 after structural relaxation, computed with GGA-PBE.

```
data_RbBIN2
_cell_length_a 4.3866
_cell_length_b 4.3866
_cell_length_c 5.0298
_cell_angle_alpha 90.00
_cell_angle_beta 90.00
_cell_angle_gamma 90.00
_space_group_name_H-M_alt 'P 4/m m m'
_space_group_IT_number 123
_space_group_name_Hall '-P 4 2'
loop_
_atom_site_label
_atom_site_fract_x
_atom_site_fract_y
_atom_site_fract_z
Rb1 0.0000 0.0000 0.0000
B1 0.5000 0.5000 0.5000
I1 0.5000 0.5000 0.0000
N1 0.0000 0.5000 0.5000
```

*ii*
RbBIN2 after structural relaxation, computed with GGA-PBE.

```
data_RbBIN2
_cell_length_a 5.3981
_cell_length_b 5.3981
_cell_length_c 7.2660
_cell_angle_alpha 90.00
_cell_angle_beta 90.00
_cell_angle_gamma 90.00
_space_group_name_H-M_alt 'P 4/m m m'
_space_group_IT_number 123
_space_group_name_Hall '-P 4 2'
loop_
_atom_site_label
_atom_site_fract_x
_atom_site_fract_y
_atom_site_fract_z
Rb1 0.0000 0.0000 0.0000
B1 0.5000 0.5000 0.5000
I1 0.0000 0.0000 0.5000
N1 0.0000 0.5000 0.0000
```

Verdict on stability: *ii* comes out at the bottom.

*i*
BRuI2N after structural relaxation, computed with GGA-PBE.

```
data_BRuI2N
_cell_length_a 6.3009
_cell_length_b 6.3009
_cell_length_c 2.7832
_cell_angle_alpha 90.00
_cell_angle_beta 90.00
_cell_angle_gamma 90.00
_space_group_name_H-M_alt 'P 4/m m m'
_space_group_IT_number 123
_space_group_name_Hall '-P 4 2'
loop_
_atom_site_label
_atom_site_fract_x
_atom_site_fract_y
_atom_site_fract_z
B1 0.0000 0.0000 0.0000
Ru1 0.5000 0.5000 0.5000
I1 0.0000 0.5000 0.0000
N1 0.0000 0.0000 0.5000
```

*ii*
BRuI2N after structural relaxation, computed with GGA-PBE.

```
data_BRuI2N
_cell_length_a 5.5339
_cell_length_b 5.5339
_cell_length_c 3.7143
_cell_angle_alpha 90.00
_cell_angle_beta 90.00
_cell_angle_gamma 90.00
_space_group_name_H-M_alt 'P 4/m m m'
_space_group_IT_number 123
_space_group_name_Hall '-P 4 2'
loop_
_atom_site_label
_atom_site_fract_x
_atom_site_fract_y
_atom_site_fract_z
B1 0.0000 0.0000 0.0000
Ru1 0.5000 0.5000 0.5000
I1 0.0000 0.5000 0.5000
N1 0.5000 0.5000 0.0000
```

Verdict on stability: *ii* comes out at the bottom.

*i*
BSIN2 after structural relaxation, computed with GGA-PBE.

```
data_BSIN2
_cell_length_a 3.4429
_cell_length_b 3.4429
_cell_length_c 7.5791
_cell_angle_alpha 90.00
_cell_angle_beta 90.00
_cell_angle_gamma 90.00
_space_group_name_H-M_alt 'P 4/m m m'
_space_group_IT_number 123
_space_group_name_Hall '-P 4 2'
loop_
_atom_site_label
_atom_site_fract_x
_atom_site_fract_y
_atom_site_fract_z
B1 0.0000 0.0000 0.0000
S1 0.5000 0.5000 0.5000
I1 0.5000 0.5000 0.0000
N1 0.0000 0.5000 0.5000
```

*ii*
BSIN2 after structural relaxation, computed with GGA-PBE.

```
data_BSIN2
_cell_length_a 3.6712
_cell_length_b 3.6712
_cell_length_c 4.2882
_cell_angle_alpha 90.00
_cell_angle_beta 90.00
_cell_angle_gamma 90.00
_space_group_name_H-M_alt 'P 4/m m m'
_space_group_IT_number 123
_space_group_name_Hall '-P 4 2'
loop_
_atom_site_label
_atom_site_fract_x
_atom_site_fract_y
_atom_site_fract_z
B1 0.0000 0.0000 0.0000
S1 0.0000 0.0000 0.5000
I1 0.5000 0.5000 0.5000
N1 0.0000 0.5000 0.0000
```

*iii*
BSIN2 after structural relaxation, computed with GGA-PBE.

```
data_BSIN2
_cell_length_a 3.8698
_cell_length_b 3.8698
_cell_length_c 5.8446
_cell_angle_alpha 90.00
_cell_angle_beta 90.00
_cell_angle_gamma 90.00
_space_group_name_H-M_alt 'P 4/m m m'
_space_group_IT_number 123
_space_group_name_Hall '-P 4 2'
loop_
_atom_site_label
_atom_site_fract_x
_atom_site_fract_y
_atom_site_fract_z
B1 0.0000 0.0000 0.0000
S1 0.5000 0.5000 0.0000
I1 0.5000 0.5000 0.5000
N1 0.0000 0.5000 0.5000
```

Verdict on stability: *iii* comes out at the bottom.

*i*
ScBI2N after structural relaxation, computed with GGA-PBE.

```
data_ScBI2N
_cell_length_a 5.8706
_cell_length_b 5.8706
_cell_length_c 3.9943
_cell_angle_alpha 90.00
_cell_angle_beta 90.00
_cell_angle_gamma 90.00
_space_group_name_H-M_alt 'P 4/m m m'
_space_group_IT_number 123
_space_group_name_Hall '-P 4 2'
loop_
_atom_site_label
_atom_site_fract_x
_atom_site_fract_y
_atom_site_fract_z
Sc1 0.0000 0.0000 0.0000
B1 0.5000 0.5000 0.5000
I1 0.0000 0.5000 0.0000
N1 0.0000 0.0000 0.5000
```

*ii*
ScBI2N after structural relaxation, computed with GGA-PBE.

```
data_ScBI2N
_cell_length_a 6.6442
_cell_length_b 6.6442
_cell_length_c 2.8138
_cell_angle_alpha 90.00
_cell_angle_beta 90.00
_cell_angle_gamma 90.00
_space_group_name_H-M_alt 'P 4/m m m'
_space_group_IT_number 123
_space_group_name_Hall '-P 4 2'
loop_
_atom_site_label
_atom_site_fract_x
_atom_site_fract_y
_atom_site_fract_z
Sc1 0.0000 0.0000 0.0000
B1 0.5000 0.5000 0.5000
I1 0.0000 0.5000 0.5000
N1 0.5000 0.5000 0.0000
```

Verdict on stability: *i* comes out at the bottom.

*i*
BSeI2N after structural relaxation, computed with GGA-PBE.

```
data_BSeI2N
_cell_length_a 8.4408
_cell_length_b 8.4408
_cell_length_c 2.7019
_cell_angle_alpha 90.00
_cell_angle_beta 90.00
_cell_angle_gamma 90.00
_space_group_name_H-M_alt 'P 4/m m m'
_space_group_IT_number 123
_space_group_name_Hall '-P 4 2'
loop_
_atom_site_label
_atom_site_fract_x
_atom_site_fract_y
_atom_site_fract_z
B1 0.0000 0.0000 0.0000
Se1 0.5000 0.5000 0.5000
I1 0.0000 0.5000 0.0000
N1 0.0000 0.0000 0.5000
```

*ii*
BSeI2N after structural relaxation, computed with GGA-PBE.

```
data_BSeI2N
_cell_length_a 5.9818
_cell_length_b 5.9818
_cell_length_c 3.6965
_cell_angle_alpha 90.00
_cell_angle_beta 90.00
_cell_angle_gamma 90.00
_space_group_name_H-M_alt 'P 4/m m m'
_space_group_IT_number 123
_space_group_name_Hall '-P 4 2'
loop_
_atom_site_label
_atom_site_fract_x
_atom_site_fract_y
_atom_site_fract_z
B1 0.0000 0.0000 0.0000
Se1 0.5000 0.5000 0.5000
I1 0.0000 0.5000 0.5000
N1 0.5000 0.5000 0.0000
```

Verdict on stability: *ii* comes out at the bottom.

*i*
SiBI2N after structural relaxation, computed with GGA-PBE.

```
data_SiBI2N
_cell_length_a 6.5661
_cell_length_b 6.5661
_cell_length_c 2.7777
_cell_angle_alpha 90.00
_cell_angle_beta 90.00
_cell_angle_gamma 90.00
_space_group_name_H-M_alt 'P 4/m m m'
_space_group_IT_number 123
_space_group_name_Hall '-P 4 2'
loop_
_atom_site_label
_atom_site_fract_x
_atom_site_fract_y
_atom_site_fract_z
Si1 0.0000 0.0000 0.0000
B1 0.5000 0.5000 0.5000
I1 0.0000 0.5000 0.5000
N1 0.5000 0.5000 0.0000
```

*ii*
SiBI2N after structural relaxation, computed with GGA-PBE.

```
data_SiBI2N
_cell_length_a 5.8363
_cell_length_b 5.8363
_cell_length_c 3.3036
_cell_angle_alpha 90.00
_cell_angle_beta 90.00
_cell_angle_gamma 90.00
_space_group_name_H-M_alt 'P 4/m m m'
_space_group_IT_number 123
_space_group_name_Hall '-P 4 2'
loop_
_atom_site_label
_atom_site_fract_x
_atom_site_fract_y
_atom_site_fract_z
Si1 0.0000 0.0000 0.0000
B1 0.5000 0.5000 0.5000
I1 0.0000 0.5000 0.0000
N1 0.0000 0.0000 0.5000
```

Verdict on stability: *ii* comes out at the bottom.

*i*
SiBIN2 after structural relaxation, computed with GGA-PBE.

```
data_SiBIN2
_cell_length_a 3.5123
_cell_length_b 3.5123
_cell_length_c 6.0560
_cell_angle_alpha 90.00
_cell_angle_beta 90.00
_cell_angle_gamma 90.00
_space_group_name_H-M_alt 'P 4/m m m'
_space_group_IT_number 123
_space_group_name_Hall '-P 4 2'
loop_
_atom_site_label
_atom_site_fract_x
_atom_site_fract_y
_atom_site_fract_z
Si1 0.0000 0.0000 0.0000
B1 0.5000 0.5000 0.5000
I1 0.5000 0.5000 0.0000
N1 0.0000 0.5000 0.5000
```

*ii*
SiBIN2 after structural relaxation, computed with GGA-PBE.

```
data_SiBIN2
_cell_length_a 3.4323
_cell_length_b 3.4323
_cell_length_c 7.5556
_cell_angle_alpha 90.00
_cell_angle_beta 90.00
_cell_angle_gamma 90.00
_space_group_name_H-M_alt 'P 4/m m m'
_space_group_IT_number 123
_space_group_name_Hall '-P 4 2'
loop_
_atom_site_label
_atom_site_fract_x
_atom_site_fract_y
_atom_site_fract_z
Si1 0.0000 0.0000 0.0000
B1 0.5000 0.5000 0.5000
I1 0.0000 0.0000 0.5000
N1 0.0000 0.5000 0.0000
```

Verdict on stability: *i* comes out at the bottom.